Material: BaZn2Sb
Method: DFT, meta-GGA SCAN
State: PBEsol geometry

Unit cell a=4.7088 b=4.7111 c=4.7105 alpha=90.00 beta=90.00 gamma=90.00
Closest atoms and distances in Å follow each position.
Element x y z (fractional)
Zn  0.0000  0.0000  0.0000  4 Zn 3.33, 4 Ba 3.33, 4 Sb 3.33
Zn  0.5000  0.0000  0.5000  4 Zn 3.33, 4 Sb 3.33, 4 Ba 3.33
Sb  0.0000  0.5000  0.5000  4 Ba 3.33, 8 Zn 3.33
Ba  0.5000  0.5000  0.0000  4 Sb 3.33, 8 Zn 3.33

Properties
As for the total magnetic moment: 0.000 μB per cell. For the mass density, the calculation gives 6.20 Mg/m³. The value obtained for the energy is -26.06 eV/atom. Its raw formation energy is -0.099 eV/atom. The symmetry is P4/mmm (123). The calculation puts the density of states at the Fermi level at 2.082 states/eV per cell.